Compound: CrMoNF2
Source: Alexandria
Functional: GGA+U
Structure: optimized geometry

The space group is P4/mmm (No. 123) and the conventional cell measures 3.832, 3.832 and 4.318 Å, with angles of 90.00, 90.00 and 90.00 degrees. Symmetry generates all atoms from Cr at (0.000, 0.000, 0.000), Mo at (0.500, 0.500, 0.500), N at (0.000, 0.000, 0.500) and F at (0.000, 0.500, 0.000).

The density of states at the Fermi level is 1.10 states/eV per cell. The calculation puts the total energy at -30.57 eV per formula unit.